No. 1
AlB2Mo, optimized geometry, DFT PBE; total energy = -91.5 eV for the cell shown
1.0
5.622 0.000 0.000
0.000 5.622 0.000
0.000 0.000 5.622
Al B Mo
4 8 4
Cartesian
0.000 0.000 0.000
0.000 2.811 2.811
2.811 0.000 2.811
2.811 2.811 0.000
0.000 0.000 2.811
0.000 2.811 0.000
1.406 1.406 1.406
1.406 4.217 4.217
2.811 0.000 0.000
2.811 2.811 2.811
4.217 1.406 4.217
4.217 4.217 1.406
1.406 1.406 4.217
1.406 4.217 1.406
4.217 1.406 1.406
4.217 4.217 4.217

No. 2
NbAgF3, optimized geometry, DFT PBE; offset from the most stable computed form = 5.7 kJ/mol of atoms
1.0
3.608 0.000 0.000
0.000 3.608 0.000
0.000 0.000 4.908
Nb Ag F
1 1 3
Cartesian
0.000 0.000 0.000
1.804 1.804 3.407
0.000 0.000 2.895
0.000 1.804 1.102
1.804 0.000 1.102

No. 3
B2Mo3P, optimized geometry, DFT PBE; total energy = -106.8 eV for the cell shown
1.0
3.197 0.000 0.000
-1.598 2.769 0.000
0.000 0.000 16.656
B Mo P
4 6 2
Cartesian
0.000 1.846 1.280
0.000 1.846 7.048
1.598 0.923 9.607
1.598 0.923 15.376
0.000 0.000 0.000
0.000 0.000 8.328
0.000 1.846 10.831
0.000 1.846 14.152
1.598 0.923 2.503
1.598 0.923 5.825
0.000 0.000 4.164
0.000 0.000 12.492

No. 4
TbErBe2Si2, optimized geometry, DFT PBE; total energy = -31.4 eV for the cell shown
1.0
3.866 0.000 0.000
-1.933 3.348 0.000
0.000 0.000 8.023
Tb Er Be Si
1 1 2 2
Cartesian
0.000 0.000 0.000
0.000 0.000 4.012
0.000 2.232 5.996
1.933 1.116 2.028
0.000 2.232 2.033
1.933 1.116 5.990

No. 5
Zr2Ir, optimized geometry, DFT PBE; total energy = -111.7 eV for the cell shown
1.0
6.536 0.000 0.000
0.000 6.536 0.000
0.000 0.000 5.726
Zr Ir
8 4
Cartesian
1.110 2.158 0.000
1.110 4.378 2.863
2.158 1.110 2.863
2.158 5.425 0.000
4.378 1.110 0.000
4.378 5.425 2.863
5.425 2.158 2.863
5.425 4.378 0.000
0.000 0.000 1.432
0.000 0.000 4.295
3.268 3.268 1.432
3.268 3.268 4.295